The following is a DFT calculation (GGA+U) of a relaxed structure of Sr3HoFe2O9.

Output
crystal system	trigonal
uncorrected energy	-6.56	eV per atom
calculated density	5.76	g/cm³
size of the total moment	7.55	μB per formula unit
SG	No. 164

Cell: 5.676 5.676 7.067 Å, 90.00 90.00 120.00°
Sites, in units of the cell vectors:
Sr1 0.000 0.000 0.000
Sr2 0.333 0.667 0.693
Sr3 0.667 0.333 0.307
Ho1 0.000 0.000 0.500
Fe1 0.333 0.667 0.162
Fe2 0.667 0.333 0.838
O1 0.000 0.500 0.000
O2 0.175 0.349 0.313
O3 0.175 0.825 0.313
O4 0.349 0.175 0.687
O5 0.500 0.000 0.000
O6 0.500 0.500 0.000
O7 0.651 0.825 0.313
O8 0.825 0.175 0.687
O9 0.825 0.651 0.687